Entry 1:
# Tb3DyFe (GGA-PBE, optimized geometry)
# - ρ (kg/m3) = 7827
data_Tb3DyFe
_chemical_formula_sum 'Tb3 Dy1 Fe1'
_cell_length_a 5.2832
_cell_length_b 5.2832
_cell_length_c 5.2832
_cell_angle_alpha 90.00
_cell_angle_beta 90.00
_cell_angle_gamma 90.00
_space_group_name_H-M_alt 'P m -3 m'
_space_group_IT_number 221
_space_group_name_Hall '-P 4 2 3'
loop_
_atom_site_label
_atom_site_fract_x
_atom_site_fract_y
_atom_site_fract_z
Tb1 0.0000 0.0000 0.5000
Dy1 0.5000 0.5000 0.5000
Fe1 0.0000 0.0000 0.0000

Entry 2:
# HfScZnTc (GGA-PBE, optimized geometry)
# - ρ (kg/m3) = 8860
data_HfScZnTc
_chemical_formula_sum 'Hf1 Sc1 Zn1 Tc1'
_cell_length_a 3.3331
_cell_length_b 3.3331
_cell_length_c 6.5258
_cell_angle_alpha 90.00
_cell_angle_beta 90.00
_cell_angle_gamma 90.00
_space_group_name_H-M_alt 'P 4 m m'
_space_group_IT_number 99
loop_
_space_group_symop_operation_xyz
'x,y,z'
'-y,x,z'
'-x,-y,z'
'y,-x,z'
'-x,y,z'
'y,x,z'
'x,-y,z'
'-y,-x,z'
loop_
_atom_site_label
_atom_site_fract_x
_atom_site_fract_y
_atom_site_fract_z
Hf1 0.0000 0.0000 0.0000
Sc1 0.0000 0.0000 0.5334
Zn1 0.5000 0.5000 0.2678
Tc1 0.5000 0.5000 0.7812

Entry 3:
# Mg2ScZn6 (GGA-PBE, optimized geometry)
# - ρ (kg/m3) = 5194
data_Mg2ScZn6
_chemical_formula_sum 'Mg2 Sc1 Zn6'
_cell_length_a 7.6620
_cell_length_b 7.6620
_cell_length_c 3.0560
_cell_angle_alpha 90.00
_cell_angle_beta 90.00
_cell_angle_gamma 120.00
_space_group_name_H-M_alt 'P 6/m m m'
_space_group_IT_number 191
_space_group_name_Hall '-P 6 2'
loop_
_atom_site_label
_atom_site_fract_x
_atom_site_fract_y
_atom_site_fract_z
Mg1 0.3333 0.6667 0.0000
Sc1 0.0000 0.0000 0.0000
Zn1 0.0000 0.3331 0.5000

Energy of formation values, unit eV per formula unit, following the record order: 0.7, -1.5, -1.6.